{"formula": "Zn6As2P", "functional": "PBE", "state": "relaxed", "total_magnetization_mub_per_atom": 0.0000, "formation_energy_ev_per_atom": -0.01, "energy_ry_per_atom": -0.18362, "crystal_system": "monoclinic", "dos_ef_per_ev_atom": 0.1689, "lattice_angstrom": [[6.5129, 0.0000, 0.0000], [0.0000, 5.0264, 0.0000], [-6.4914, 0.0000, 10.4733]], "species": ["Zn", "Zn", "Zn", "Zn", "Zn", "Zn", "Zn", "Zn", "Zn", "Zn", "Zn", "Zn", "As", "As", "As", "As", "P", "P"], "fractional_positions": [[0.0755, 0.2046, 0.3681], [0.0755, 0.2954, 0.8681], [0.3294, 0.7244, 0.9991], [0.3294, 0.7756, 0.4991], [0.3396, 0.2029, 0.6294], [0.3396, 0.2971, 0.1294], [0.6604, 0.7029, 0.8706], [0.6604, 0.7971, 0.3706], [0.6706, 0.2244, 0.5009], [0.6706, 0.2756, 0.0009], [0.9245, 0.7046, 0.1319], [0.9245, 0.7954, 0.6319], [0.3049, 0.0019, 0.8038], [0.3049, 0.4981, 0.3038], [0.6951, 0.5019, 0.6962], [0.6951, 0.9981, 0.1962], [0.0000, 0.0000, 0.0000], [0.0000, 0.5000, 0.5000]]}

=====

{"formula": "ZnAs2P2", "functional": "PBE", "state": "relaxed", "total_magnetization_mub_per_atom": 0.0000, "e_above_lowest_polymorph_mev_per_atom": 195, "formation_energy_ev_per_atom": 0.29, "energy_ry_per_atom": -0.29281, "crystal_system": "tetragonal", "dos_ef_per_ev_atom": 0.3258, "lattice_angstrom": [[-2.5666, 2.5666, 3.7332], [2.5666, -2.5666, 3.7332], [2.5666, 2.5666, -3.7332]], "species": ["Zn", "As", "As", "P", "P"], "fractional_positions": [[0.0000, 0.0000, 0.0000], [0.2500, 0.7500, 0.5000], [0.7500, 0.2500, 0.5000], [0.3061, 0.3061, 0.0000], [0.6939, 0.6939, 0.0000]]}

=====

{"formula": "Zn8As5P", "functional": "PBE", "state": "relaxed", "total_magnetization_mub_per_atom": 0.0000, "formation_energy_ev_per_atom": -0.08, "energy_ry_per_atom": -0.20973, "crystal_system": "tetragonal", "dos_ef_per_ev_atom": 0.3219, "lattice_angstrom": [[-3.7367, 3.7367, 5.2618], [3.7367, -3.7367, 5.2618], [3.7367, 3.7367, -5.2618]], "species": ["Zn", "Zn", "Zn", "Zn", "Zn", "Zn", "Zn", "Zn", "As", "As", "As", "As", "As", "P"], "fractional_positions": [[0.3514, 0.1181, 0.2334], [0.3711, 0.6273, 0.7438], [0.3727, 0.1164, 0.7438], [0.3727, 0.6289, 0.2562], [0.8819, 0.1153, 0.2334], [0.8819, 0.6486, 0.7666], [0.8836, 0.6273, 0.2562], [0.8847, 0.1181, 0.7666], [0.1267, 0.3806, 0.2539], [0.1272, 0.8733, 0.2539], [0.1267, 0.8728, 0.7461], [0.6194, 0.8733, 0.7461], [0.7500, 0.2500, 0.5000], [0.5000, 0.5000, 0.0000]]}

=====

{"formula": "ZnAs2P", "functional": "PBE", "state": "relaxed", "total_magnetization_mub_per_atom": 0.0000, "e_above_lowest_polymorph_mev_per_atom": 47, "formation_energy_ev_per_atom": 0.11, "energy_ry_per_atom": -0.28546, "crystal_system": "orthorhombic", "dos_ef_per_ev_atom": 0.1119, "lattice_angstrom": [[4.8232, 0.0000, 0.0000], [0.0000, 1.4060, 5.9772], [0.0000, -1.4060, 5.9772]], "species": ["Zn", "As", "As", "P"], "fractional_positions": [[0.0000, 0.0000, 0.0000], [0.0000, 0.6872, 0.6872], [0.5000, 0.9330, 0.9330], [0.5000, 0.7368, 0.7368]]}

=====

| no. | ρ (g/cm3) |
| --- | --- |
| 1 | 5.55 |
| 2 | 4.68 |
| 3 | 5.25 |
| 4 | 5.04 |